The following is a PBE calculation of an optimized crystal structure of LiBrCl2, from Alexandria via LeMat-Bulk.

Unit cell a=3.8615 b=3.8615 c=7.0705 alpha=90.00 beta=90.00 gamma=90.00
Closest atoms and distances in Å follow each position.
Positions (direct):
1 Li 0.0000 0.0000 0.0000  1 Cl 2.17
2 Br 0.5000 0.5000 0.3875  1 Cl 2.30
3 Cl 0.0000 0.0000 0.6935  1 Li 2.17
4 Cl 0.5000 0.5000 0.0625  1 Br 2.30

The value obtained for the final energy is -2.359 eV per atom. Its crystal system is tetragonal. The value obtained for the total magnetization is 0.0 μB per formula unit. The space-group type is No. 99. The value obtained for the energy above the most stable polymorph in this dataset is 1.38 eV per formula unit. Its uncorrected formation energy is -0.539 eV/atom.

=====

The following is a PBE calculation of an optimized crystal structure of Li2MgBrCl, from Alexandria via LeMat-Bulk.

Unit cell a=4.7485 b=4.7485 c=5.8659 alpha=90.00 beta=90.00 gamma=90.00
Closest atoms and distances in Å follow each position.
Positions (direct):
1 Li 0.0000 0.5000 0.0000  2 Cl 2.37
2 Li 0.5000 0.0000 0.0000  2 Cl 2.37
3 Mg 0.0000 0.0000 0.5000  2 Cl 2.93
4 Br 0.5000 0.5000 0.5000  4 Mg 3.36
5 Cl 0.0000 0.0000 0.0000  4 Li 2.37

The value obtained for the final energy is -2.461 eV per atom. Its crystal system is tetragonal. The value obtained for the total magnetization is 0.0 μB per formula unit. The space-group type is No. 123. Its uncorrected formation energy is -0.672 eV/atom.

=====

The following is a PBE calculation of an optimized crystal structure of Li2MgBr2Cl2, from Alexandria via LeMat-Bulk.

Unit cell a=6.7673 b=6.7673 c=6.6285 alpha=106.01 beta=106.01 gamma=33.52
Closest atoms and distances in Å follow each position.
Positions (direct):
1 Li 0.2401 0.2401 0.2790  3 Cl 2.45-2.51, 1 Br 2.72
2 Li 0.7599 0.7599 0.7210  3 Cl 2.45-2.51, 1 Br 2.72
3 Mg 0.5000 0.5000 0.0000  2 Cl 2.49, 4 Br 2.72
4 Br 0.1135 0.1135 0.8726  2 Mg 2.72, 1 Li 2.72
5 Br 0.8865 0.8865 0.1274  2 Mg 2.72, 1 Li 2.72
6 Cl 0.3591 0.3591 0.6530  3 Li 2.45-2.51, 1 Mg 2.49
7 Cl 0.6409 0.6409 0.3470  3 Li 2.45-2.51, 1 Mg 2.49

The value obtained for the final energy is -3.421 eV per atom. Its crystal system is monoclinic. The value obtained for the total magnetization is 0.0 μB per formula unit. The space-group type is No. 12. Its uncorrected formation energy is -1.641 eV/atom.

=====

The following is a PBE calculation of an optimized crystal structure of Li6BrNCl2, from Alexandria via LeMat-Bulk.

Unit cell a=6.2600 b=6.2600 c=6.0476 alpha=117.79 beta=117.79 gamma=58.58
Closest atoms and distances in Å follow each position.
Positions (direct):
1 Li 0.1358 0.6984 0.6158  1 N 1.94
2 Li 0.1807 0.1807 0.8400  1 N 1.94
3 Li 0.3016 0.8642 0.3842  1 N 1.94
4 Li 0.6984 0.1358 0.6158  1 N 1.94
5 Li 0.8193 0.8193 0.1600  1 N 1.94
6 Li 0.8642 0.3016 0.3842  1 N 1.94
7 Br 0.5000 0.5000 0.0000  4 Li 2.63
8 N 0.0000 0.0000 0.5000  6 Li 1.94
9 Cl 0.2511 0.2511 0.2884  5 Li 2.39-2.58
10 Cl 0.7489 0.7489 0.7116  5 Li 2.39-2.58

The value obtained for the final energy is -3.676 eV per atom. Its crystal system is monoclinic. The value obtained for the total magnetization is 0.1 μB per formula unit. The space-group type is No. 12. Its uncorrected formation energy is -1.159 eV/atom.

=====

The following is a PBE calculation of an optimized crystal structure of Na5LiBr2Cl4, from Alexandria via LeMat-Bulk.

Unit cell a=8.1351 b=6.6790 c=6.6790 alpha=117.36 beta=90.00 gamma=90.00
Closest atoms and distances in Å follow each position.
Positions (direct):
1 Na 0.0000 0.0000 0.0000  2 Cl 2.66, 2 Br 2.85
2 Na 0.2673 0.2589 0.6371  3 Cl 2.75-2.87, 2 Br 2.91-3.02
3 Na 0.2673 0.6371 0.2589  3 Cl 2.75-2.87, 2 Br 2.91-3.02
4 Na 0.7327 0.2589 0.6371  3 Cl 2.75-2.87, 2 Br 2.91-3.02
5 Na 0.7327 0.6371 0.2589  3 Cl 2.75-2.87, 2 Br 2.91-3.02
6 Li 0.5000 0.9728 0.9728  4 Cl 2.41-2.44
7 Br 0.0000 0.5411 0.9136  5 Na 2.85-3.02
8 Br 0.0000 0.9136 0.5411  5 Na 2.85-3.02
9 Cl 0.2778 0.2025 0.2025  1 Li 2.41, 1 Na 2.66
10 Cl 0.5000 0.5882 0.9263  1 Li 2.44
11 Cl 0.5000 0.9263 0.5882  1 Li 2.44
12 Cl 0.7222 0.2025 0.2025  1 Li 2.41, 1 Na 2.66

The value obtained for the final energy is -3.277 eV per atom. Its crystal system is orthorhombic. The value obtained for the total magnetization is 0.0 μB per formula unit. The space-group type is No. 38. Its uncorrected formation energy is -1.674 eV/atom.

=====

The following is a PBE calculation of an optimized crystal structure of NaLi2BrCl2, from Alexandria via LeMat-Bulk.

Unit cell a=5.4407 b=6.1577 c=9.4705 alpha=90.00 beta=102.45 gamma=90.00
Closest atoms and distances in Å follow each position.
Positions (direct):
1 Na 0.1707 0.2500 0.1019  3 Cl 2.69-2.89
2 Na 0.8293 0.7500 0.8981  3 Cl 2.69-2.89
3 Li 0.1136 0.0095 0.6712  2 Cl 2.33-2.37, 1 Br 2.55
4 Li 0.1136 0.4905 0.6712  2 Cl 2.33-2.37, 1 Br 2.55
5 Li 0.8864 0.5095 0.3288  2 Cl 2.33-2.37, 1 Br 2.55
6 Li 0.8864 0.9905 0.3288  2 Cl 2.33-2.37, 1 Br 2.55
7 Br 0.2275 0.2500 0.4761  4 Li 2.55-2.61
8 Br 0.7725 0.7500 0.5239  4 Li 2.55-2.61
9 Cl 0.0652 0.7500 0.1836  2 Li 2.37
10 Cl 0.3226 0.7500 0.8319  2 Li 2.33
11 Cl 0.6774 0.2500 0.1681  2 Li 2.33
12 Cl 0.9348 0.2500 0.8164  2 Li 2.37

The value obtained for the final energy is -3.402 eV per atom. Its crystal system is monoclinic. The value obtained for the total magnetization is 0.0 μB per formula unit. The space-group type is No. 11. Its uncorrected formation energy is -1.649 eV/atom.

=====

The following is a PBE calculation of an optimized crystal structure of Na3Li2Br3Cl2, from Alexandria via LeMat-Bulk.

Unit cell a=14.1855 b=14.1855 c=14.1855 alpha=162.60 beta=162.60 gamma=24.70
Closest atoms and distances in Å follow each position.
Positions (direct):
1 Na 0.0000 0.0000 0.0000  6 Br 3.03-3.05
2 Na 0.3941 0.3941 0.0000  5 Br 2.94-3.04, 1 Cl 2.97
3 Na 0.6059 0.6059 0.0000  5 Br 2.94-3.04, 1 Cl 2.97
4 Li 0.2500 0.7500 0.5000  4 Cl 2.38
5 Li 0.7500 0.2500 0.5000  4 Cl 2.38
6 Br 0.1099 0.1099 0.0000  5 Na 3.04-3.05
7 Br 0.5000 0.5000 0.0000  6 Na 2.94-3.03
8 Br 0.8901 0.8901 0.0000  5 Na 3.04-3.05
9 Cl 0.2870 0.2870 0.0000  4 Li 2.38
10 Cl 0.7130 0.7130 0.0000  4 Li 2.38

The value obtained for the final energy is -3.280 eV per atom. Its crystal system is tetragonal. The value obtained for the total magnetization is 0.0 μB per formula unit. The space-group type is No. 139. Its uncorrected formation energy is -1.631 eV/atom.

=====

The following is a PBE calculation of an optimized crystal structure of Li3PaBr6Cl2, from Alexandria via LeMat-Bulk.

Unit cell a=8.4384 b=8.4384 c=7.3675 alpha=114.77 beta=114.77 gamma=53.74
Closest atoms and distances in Å follow each position.
Positions (direct):
1 Li 0.0000 0.0000 0.0000  2 Cl 2.30
2 Li 0.0000 0.5000 0.5000  2 Cl 2.45
3 Li 0.5000 0.0000 0.5000  2 Cl 2.45
4 Pa 0.5000 0.5000 0.5000  6 Br 2.70-2.77
5 Br 0.1250 0.6246 0.2517  1 Pa 2.70
6 Br 0.3754 0.8750 0.7483  1 Pa 2.70
7 Br 0.3974 0.3974 0.7288  1 Pa 2.77, 2 Li 2.81
8 Br 0.6026 0.6026 0.2712  1 Pa 2.77, 2 Li 2.81
9 Br 0.6246 0.1250 0.2517  1 Pa 2.70
10 Br 0.8750 0.3754 0.7483  1 Pa 2.70
11 Cl 0.1503 0.1503 0.2978  3 Li 2.30-2.45
12 Cl 0.8497 0.8497 0.7022  3 Li 2.30-2.45

The value obtained for the final energy is -3.934 eV per atom. Its crystal system is monoclinic. The value obtained for the total magnetization is 0.0 μB per formula unit. The space-group type is No. 12. Its uncorrected formation energy is -1.520 eV/atom.